# SrTa2GeAs

SrTa2GeAs after structural relaxation (PBE, the Alexandria database).

abc: 5.0405 5.0405 5.2004
angles: 90.00 90.00 90.00
Positions (direct):
1 Sr 0.0000 0.0000 0.0000
2 Ta 0.0000 0.5000 0.0000
3 Ta 0.5000 0.0000 0.0000
4 Ge 0.0000 0.0000 0.5000
5 As 0.5000 0.5000 0.5000

The value obtained for the density of states at the Fermi level is 4.5 states/eV/f.u. Its formation energy is 2.601 eV/atom.